5
Lattice="4.0159 0.0000 0.0000 0.0000 4.0159 0.0000 0.0000 0.0000 4.3224" Properties=species:S:1:pos:R:3 comment="PBE LiHgRh2C, relaxed" e_tot_ev_per_atom=-5.3125 formation_energy_ev_per_fu=-0.42 pbc="T T T"
C 0.0000 0.0000 0.0000
Rh 0.0000 2.0080 0.0000
Rh 2.0080 0.0000 0.0000
Hg 2.0080 2.0080 2.1612
Li 0.0000 0.0000 2.1612



5
Lattice="3.5891 0.0000 0.0000 0.0000 3.5891 0.0000 1.7946 1.7946 6.4214" Properties=species:S:1:pos:R:3 comment="PBE SbMo2P2, relaxed" formation_energy_uncorrected_mev_per_atom=-93 e_tot_ev_per_atom=-7.4136 pbc="T T T"
Sb 0.0000 0.0000 0.0000
Mo 1.7945 1.7945 1.5473
Mo 3.5891 3.5891 4.8740
P 3.5891 1.7946 3.2107
P 1.7946 3.5891 3.2107



12
Lattice="3.9319 0.0000 0.0000 0.0000 3.9319 0.0000 0.0000 0.0000 11.8197" Properties=species:S:1:pos:R:3 comment="PBE Mn2RuPt9, relaxed" e_tot_ev_per_atom=-7.0465 formation_energy_ev_per_fu=-2.58 pbc="T T T"
Mn 0.0000 0.0000 3.9482
Mn 0.0000 0.0000 7.8715
Ru 0.0000 0.0000 0.0000
Pt 1.9660 1.9660 0.0000
Pt 1.9660 1.9660 3.9487
Pt 1.9660 1.9660 7.8710
Pt 1.9660 0.0000 1.9763
Pt 1.9660 0.0000 5.9099
Pt 1.9660 0.0000 9.8434
Pt 0.0000 1.9660 1.9763
Pt 0.0000 1.9660 5.9099
Pt 0.0000 1.9660 9.8434



10
Lattice="-7.7744 1.4610 2.2865 1.7088 -2.7538 7.5697 1.1602 4.1951 1.2642" Properties=species:S:1:pos:R:3 comment="PBE BaSr2Pt2, relaxed" e_tot_ev_per_atom=-4.1494 formation_energy_ev_per_fu=-3.38 pbc="T T T"
Sr 0.4658 0.5142 5.9911
Sr -3.1129 0.7474 8.5013
Sr -5.3711 2.3882 5.1293
Sr -1.7925 2.1549 2.6192
Ba 0.0000 0.0000 0.0000
Ba -3.0328 -0.6464 4.9281
Pt -1.4481 -1.8676 7.5263
Pt -5.7782 -0.4233 6.7074
Pt -4.6174 0.5749 2.3299
Pt -0.2873 -0.8695 3.1488



12
Lattice="4.2024 0.0000 0.0000 0.0000 8.3823 0.3186 -2.1012 -2.3969 8.8107" Properties=species:S:1:pos:R:3 comment="PBE Nd2Y3ThAs6, relaxed" e_tot_ev_per_atom=-6.8839 formation_energy_ev_per_fu=-18.36 pbc="T T T"
Nd 2.1012 3.9733 6.0675
Nd 0.0000 2.0121 3.0618
Y 2.1012 4.1911 0.1593
Y 2.1012 -0.1875 5.9088
Y 0.0000 6.1729 3.2205
Th 2.1012 0.0000 0.0000
As 0.0000 6.1365 6.1566
As 2.1012 4.1454 3.0847
As 2.1012 -0.1511 2.9727
As 2.1012 -0.2723 8.8572
As 0.0000 6.2577 0.2721
As 0.0000 1.8400 6.0446



8
Lattice="3.6964 -0.3846 0.0000 -1.4186 4.4176 0.0000 0.0000 0.0000 6.5889" Properties=species:S:1:pos:R:3 comment="PBE FeNi2Pd, relaxed" e_tot_ev_per_atom=-6.1886 formation_energy_ev_per_fu=0.46 pbc="T T T"
Fe 2.0853 2.1281 1.6472
Fe 0.1925 1.9049 4.9417
Ni 0.3155 3.0848 0.3788
Ni 0.3155 3.0848 2.9157
Ni 1.9623 0.9482 6.2102
Ni 1.9623 0.9482 3.6733
Pd 0.0572 0.5749 1.6472
Pd 2.2206 3.4581 4.9417